No. 1
Computed, not measured: a geometry-optimized LiRuRh2O6 structure at the PBE level of DFT.

Lattice parameters (Å, degrees): 5.574 5.574 5.574 54.69 54.69 54.69
Fractional positions:
Li 0.000 0.000 0.000
Ru 0.518 0.518 0.518
Rh 0.207 0.207 0.207
Rh 0.713 0.713 0.713
O 0.120 0.440 0.799
O 0.316 0.914 0.609
O 0.440 0.799 0.120
O 0.609 0.316 0.914
O 0.799 0.120 0.440
O 0.914 0.609 0.316

Computed properties:
* space-group type: No. 146
* formation energy without anion corrections: -0.97 eV per atom



No. 2
Computed, not measured: a geometry-optimized TaGa2Cl structure at the PBE level of DFT.

Lattice parameters (Å, degrees): 4.770 4.770 4.770 60.00 60.00 60.00
Fractional positions:
Ta 0.000 0.000 0.000
Ga 0.250 0.250 0.250
Ga 0.750 0.750 0.750
Cl 0.500 0.500 0.500

Computed properties:
* space-group type: No. 225
* formation energy without anion corrections: 0.59 eV per atom
* relative energy among the computed polymorphs: 0.2393 eV/atom



Number 1: total magnetization 3.0 μB/f.u.. Number 2: total magnetization 0.0 μB/f.u..